A relaxed Sr2CrBr crystal, computed with PBE-GGA.

Total magnetic moment: 5.11 μB per formula unit
Raw formation energy: -116 meV per atom
Relative energy among the computed polymorphs: 180 meV per atom

a = 8.6109 Å, b = 8.6109 Å, c = 7.4494 Å
α = 54.69°, β = 54.69°, γ = 90.00°
Atoms (fractional coordinates):
Sr (0.1073, 0.6250, 0.2500)
Br (0.0000, 0.0000, 0.0000)
Sr (0.8750, 0.8927, 0.7500)
Sr (0.6427, 0.1250, 0.2500)
Cr (0.5000, 0.5000, 0.0000)
Br (0.7500, 0.2500, 0.5000)
Cr (0.2500, 0.7500, 0.5000)
Sr (0.3750, 0.3573, 0.7500)